{
  "formula": "TiN",
  "functional": "PBE",
  "state": "optimized geometry",
  "lattice": [[-2.9835, -0.4152, 8.4370], [6.5771, -5.9375, 2.0336], [3.8494, 4.8114, 1.5980]],
  "species": ["Ti", "Ti", "Ti", "Ti", "Ti", "Ti", "Ti", "Ti", "Ti", "Ti", "Ti", "Ti", "Ti", "Ti", "Ti", "Ti", "N", "N", "N", "N", "N", "N", "N", "N", "N", "N", "N", "N", "N", "N", "N", "N"],
  "fractional_positions": [[0.1528, 0.0000, 0.0000], [0.8472, 0.0000, 0.0000], [0.0972, 0.7500, 0.2500], [0.4028, 0.7500, 0.2500], [0.1528, 0.5000, 0.5000], [0.8472, 0.5000, 0.5000], [0.0972, 0.2500, 0.7500], [0.4028, 0.2500, 0.7500], [0.6528, 0.0000, 0.5000], [0.3472, 0.0000, 0.5000], [0.5972, 0.7500, 0.7500], [0.9028, 0.7500, 0.7500], [0.6528, 0.5000, 0.0000], [0.3472, 0.5000, 0.0000], [0.5972, 0.2500, 0.2500], [0.9028, 0.2500, 0.2500], [0.0000, 0.8346, 0.0000], [0.0000, 0.1654, 0.0000], [0.2500, 0.9154, 0.2500], [0.2500, 0.5846, 0.2500], [0.0000, 0.3346, 0.5000], [0.0000, 0.6654, 0.5000], [0.2500, 0.4154, 0.7500], [0.2500, 0.0846, 0.7500], [0.5000, 0.8346, 0.5000], [0.5000, 0.1654, 0.5000], [0.7500, 0.9154, 0.7500], [0.7500, 0.5846, 0.7500], [0.5000, 0.3346, 0.0000], [0.5000, 0.6654, 0.0000], [0.7500, 0.4154, 0.2500], [0.7500, 0.0846, 0.2500]],
  "dft_energy_ev_per_cell": -296.16,
  "magnetic_moment_mub_per_atom": 0.11,
  "e_form_raw_ev_per_atom": -1.1449,
  "dos_ef_per_ev_cell": 29.059
}